Entry i
This record from the Alexandria database describes LiMnAs2 after structural relaxation. The functional is PBE.

Output
**DOS(E_F)**: 1.47 states/eV/f.u.
**M_tot**: 3.8 μB/f.u.
**Volume**: 16.2 Å³/atom

a b c (Å): 6.0302 7.3788 2.9055
angles (deg): 90.00 90.00 90.00
Space group Cmmm (No. 65)
Asymmetric unit:
Li1 0.0000 0.0000 0.0000 [2 per cell]
Mn1 0.0000 0.5000 0.0000 [2 per cell]
As1 0.2500 0.2500 0.5000 [4 per cell]



Entry ii
This record from the Alexandria database describes LiMnAs2 after structural relaxation. The functional is PBE.

Output
**DOS(E_F)**: 2.47 states/eV/f.u.
**M_tot**: 2.9 μB/f.u.
**Volume**: 17.3 Å³/atom

a b c (Å): 3.0834 3.0834 25.1818
angles (deg): 90.00 90.00 120.00
Space group R3m (No. 160, hexagonal axes)
Asymmetric unit:
Li1 0.0000 0.0000 0.0000 [3 per cell]
Mn1 0.0000 0.0000 0.2404 [3 per cell]
As1 0.0000 0.0000 0.5072 [3 per cell]
As2 0.0000 0.0000 0.7481 [3 per cell]



Entry iii
This record from the Alexandria database describes LiMnAs2 after structural relaxation. The functional is PBE.

Output
**DOS(E_F)**: 1.55 states/eV/f.u.
**M_tot**: 2.9 μB/f.u.
**Volume**: 15.9 Å³/atom

a b c (Å): 6.3308 6.3308 6.3308
angles (deg): 90.00 90.00 90.00
Space group Fm-3m (No. 225)
Asymmetric unit:
Li1 0.0000 0.0000 0.0000 [4 per cell]
Mn1 0.0000 0.0000 0.5000 [4 per cell]
As1 0.2500 0.2500 0.2500 [8 per cell]



Stability summary - winner: entry i; margin: 5 meV/atom.



Entry i
This record from the Alexandria database describes LiMnAs2 after structural relaxation. The functional is PBE.

Output
**DOS(E_F)**: 1.59 states/eV/f.u.
**M_tot**: 3.7 μB/f.u.
**Volume**: 16.1 Å³/atom

a b c (Å): 4.2240 4.2240 3.6063
angles (deg): 90.00 90.00 90.00
Space group P4/mmm (No. 123)
Asymmetric unit:
Li1 0.0000 0.0000 0.0000 [1 per cell]
Mn1 0.5000 0.5000 0.0000 [1 per cell]
As1 0.0000 0.5000 0.5000 [2 per cell]



Entry ii
This record from the Alexandria database describes LiMnAs2 after structural relaxation. The functional is PBE.

Output
**DOS(E_F)**: 1.05 states/eV/f.u.
**M_tot**: 2.3 μB/f.u.
**Volume**: 16.6 Å³/atom

a b c (Å): 3.2104 3.2104 22.3536
angles (deg): 90.00 90.00 120.00
Space group R3m (No. 160, hexagonal axes)
Asymmetric unit:
Li1 0.0000 0.0000 0.0000 [3 per cell]
Mn1 0.0000 0.0000 0.8369 [3 per cell]
As1 0.0000 0.0000 0.2431 [3 per cell]
As2 0.0000 0.0000 0.4296 [3 per cell]



Entry iii
This record from the Alexandria database describes LiMnAs2 after structural relaxation. The functional is PBE.

Output
**DOS(E_F)**: 1.57 states/eV/f.u.
**M_tot**: 3.3 μB/f.u.
**Volume**: 19.2 Å³/atom

a b c (Å): 2.8190 2.8190 9.6764
angles (deg): 90.00 90.00 90.00
Space group P4/mmm (No. 123)
Asymmetric unit:
Li1 0.0000 0.0000 0.0000 [1 per cell]
Mn1 0.0000 0.0000 0.5000 [1 per cell]
As1 0.0000 0.0000 0.2515 [2 per cell]



Entry iv
This record from the Alexandria database describes LiMnAs2 after structural relaxation. The functional is PBE.

Output
**DOS(E_F)**: 2.29 states/eV/f.u.
**M_tot**: 3.0 μB/f.u.
**Volume**: 16.0 Å³/atom

a b c (Å): 3.5460 3.5460 5.0934
angles (deg): 90.00 90.00 90.00
Space group P4mm (No. 99)
Asymmetric unit:
Li1 0.0000 0.0000 0.0000 [1 per cell]
Mn1 0.5000 0.5000 0.3441 [1 per cell]
As1 0.0000 0.0000 0.4887 [1 per cell]
As2 0.5000 0.5000 0.8538 [1 per cell]



Stability summary - winner: entry ii; margin: 153 meV/atom.